Record 1
First-principles (GGA-PBE) data for a relaxed structure of Nd2YHo3Se6, as listed in Alexandria via LeMat-Bulk.

Summary:
space group = C2/m (12)
energy relative to the elements, uncorrected = -1.770 eV per atom
magnetization = 0.00 μB per cell

```
Nd2YHo3Se6
1.0
-1.178 -3.559 1.636
-1.064 -3.149 -7.619
9.158 -0.134 1.187
Nd Y Ho Se
2 1 3 6
Direct
0.832 0.664 0.663
0.168 0.336 0.337
0.500 0.000 0.000
0.500 0.500 0.000
0.830 0.167 0.661
0.170 0.833 0.339
0.334 0.928 0.668
0.662 0.592 0.324
0.666 0.072 0.332
0.996 0.250 0.992
0.004 0.750 0.008
0.338 0.408 0.676
```

Record 2
First-principles (GGA-PBE) data for a relaxed structure of NdYHo2Se6, as listed in Alexandria via LeMat-Bulk.

Summary:
space group = R3 (146)
energy relative to the elements, uncorrected = -1.849 eV per atom
magnetization = 0.00 μB per cell

```
NdYHo2Se6
1.0
7.264 0.000 0.000
3.632 6.291 0.000
3.632 2.097 6.496
Nd Y Ho Se
1 1 2 6
Direct
0.813 0.813 0.561
0.318 0.318 0.047
0.515 0.515 0.455
0.012 0.012 0.964
0.613 0.228 0.247
0.228 0.912 0.247
0.912 0.613 0.247
0.397 0.726 0.749
0.726 0.128 0.749
0.128 0.397 0.749
```

Record 3
First-principles (GGA-PBE) data for a relaxed structure of NdY3Ho2Se6, as listed in Alexandria via LeMat-Bulk.

Summary:
space group = C2/m (12)
energy relative to the elements, uncorrected = -1.764 eV per atom
magnetization = 0.00 μB per cell

```
NdY3Ho2Se6
1.0
-5.807 3.652 1.866
-0.078 -7.109 0.033
4.017 1.161 5.741
Nd Y Ho Se
1 3 2 6
Direct
0.000 0.000 0.000
0.159 0.841 0.500
0.841 0.159 0.500
0.500 0.500 0.500
0.335 0.665 0.000
0.665 0.335 0.000
0.916 0.571 0.746
0.739 0.739 0.248
0.084 0.429 0.254
0.571 0.916 0.746
0.261 0.261 0.752
0.429 0.084 0.254
```

Record 4
First-principles (GGA-PBE) data for a relaxed structure of Nd2HoZnSe5, as listed in Alexandria via LeMat-Bulk.

Summary:
space group = Cmc2_1 (36)
energy relative to the elements, uncorrected = -1.586 eV per atom
magnetization = 0.00 μB per cell

```
Nd2HoZnSe5
1.0
4.023 0.000 0.000
-2.012 8.916 0.000
0.000 0.000 12.467
Nd Ho Zn Se
4 2 2 10
Direct
0.869 0.739 0.815
0.115 0.230 0.683
0.131 0.261 0.315
0.885 0.770 0.183
0.802 0.603 0.515
0.198 0.397 0.015
0.552 0.104 0.948
0.448 0.896 0.448
0.357 0.713 0.002
0.686 0.371 0.853
0.495 0.990 0.774
0.289 0.578 0.675
0.958 0.915 0.559
0.643 0.287 0.502
0.314 0.629 0.353
0.505 0.010 0.274
0.711 0.422 0.175
0.042 0.085 0.059
```

Record 5
First-principles (GGA-PBE) data for a relaxed structure of Nd2HoSi2, as listed in Alexandria via LeMat-Bulk.

Summary:
energy above the most stable polymorph in this dataset = 0 meV per atom
space group = P4/mbm (127)
energy relative to the elements, uncorrected = -0.688 eV per atom
magnetization = 0.00 μB per cell

```
Nd2HoSi2
1.0
4.395 0.000 0.000
0.000 7.601 0.000
0.000 0.000 7.601
Nd Ho Si
4 2 4
Direct
0.500 0.177 0.677
0.500 0.677 0.823
0.500 0.823 0.323
0.500 0.323 0.177
0.000 0.000 0.000
0.000 0.500 0.500
0.000 0.386 0.886
0.000 0.886 0.614
0.000 0.614 0.114
0.000 0.114 0.386
```

Record 6
First-principles (GGA-PBE) data for a relaxed structure of Nd3HoSi4, as listed in Alexandria via LeMat-Bulk.

Summary:
space group = Immm (71)
energy relative to the elements, uncorrected = -0.555 eV per atom
magnetization = 0.00 μB per cell

```
Nd3HoSi4
1.0
-3.311 -2.266 1.226
3.853 -4.555 1.987
0.057 6.838 5.614
Nd Ho Si
3 1 4
Direct
0.000 0.500 0.000
0.194 0.194 0.387
0.806 0.806 0.613
0.500 0.000 0.000
0.370 0.556 0.741
0.630 0.444 0.259
0.630 0.815 0.259
0.370 0.185 0.741
```

Which value of magnetization does entry 3 give? 0.00 μB per cell

Repeat the second record exactly.
First-principles (GGA-PBE) data for a relaxed structure of NdYHo2Se6, as listed in Alexandria via LeMat-Bulk.

Summary:
space group = R3 (146)
energy relative to the elements, uncorrected = -1.849 eV per atom
magnetization = 0.00 μB per cell

```
NdYHo2Se6
1.0
7.264 0.000 0.000
3.632 6.291 0.000
3.632 2.097 6.496
Nd Y Ho Se
1 1 2 6
Direct
0.813 0.813 0.561
0.318 0.318 0.047
0.515 0.515 0.455
0.012 0.012 0.964
0.613 0.228 0.247
0.228 0.912 0.247
0.912 0.613 0.247
0.397 0.726 0.749
0.726 0.128 0.749
0.128 0.397 0.749
```

Which formula does entry 2 have? NdYHo2Se6